Crystalline DyZnCl5 at its relaxed geometry. Source: Alexandria, functional PBE-GGA.

Unit cell a=10.9727 b=8.1247 c=9.0671 alpha=90.00 beta=113.90 gamma=90.00
Last column: nearest neighbours and their distance in Å.
Space group C2/c (No. 15)
Symmetry-distinct sites (fractional):
Dy1 0.0000 0.0605 0.2500 x4  7 Cl 2.58-2.87
Zn1 0.0000 0.5000 0.0000 x4  6 Cl 2.41-2.56
Cl1 0.0000 0.3997 0.2500 x4  2 Zn 2.41
Cl2 0.0180 0.1895 0.9648 x8  1 Zn 2.56, 1 Dy 2.76
Cl3 0.2433 0.4639 0.6306 x8  1 Zn 2.46, 1 Dy 2.58

**ΔE_f (raw)**: -1.673 eV/atom
**Relative energy among the computed polymorphs**: 98 meV/atom
**VASP energy**: -3.83 eV/atom